{"formula": "Fe4Pt5Rh4", "functional": "PBE", "state": "relaxed", "lattice": [[-4.896, 4.896, 1.941], [4.896, -4.896, 1.941], [4.896, 4.896, -1.941]], "species": ["Fe", "Fe", "Fe", "Fe", "Pt", "Pt", "Pt", "Pt", "Pt", "Rh", "Rh", "Rh", "Rh"], "fractional_positions": [[0.149, 0.766, 0.916], [0.234, 0.149, 0.383], [0.766, 0.851, 0.617], [0.851, 0.234, 0.084], [0.000, 0.000, 0.000], [0.305, 0.547, 0.852], [0.453, 0.305, 0.758], [0.547, 0.695, 0.242], [0.695, 0.453, 0.148], [0.081, 0.384, 0.465], [0.384, 0.919, 0.303], [0.616, 0.081, 0.697], [0.919, 0.616, 0.535]], "total_magnetization_mub_per_atom": 1.17, "dft_energy_ev_per_cell": -95.2, "space_group": "I4/m"}


{"formula": "Na2TbY3Te6", "functional": "PBE", "state": "relaxed", "lattice": [[3.807, -6.588, 0.000], [3.807, 6.588, 0.000], [-2.532, 0.000, 7.290]], "species": ["Na", "Na", "Tb", "Y", "Y", "Y", "Te", "Te", "Te", "Te", "Te", "Te"], "fractional_positions": [[0.166, 0.834, 0.000], [0.834, 0.166, 0.000], [0.500, 0.500, 0.000], [0.000, 0.000, 0.500], [0.331, 0.669, 0.500], [0.669, 0.331, 0.500], [0.086, 0.416, 0.747], [0.256, 0.256, 0.256], [0.416, 0.086, 0.747], [0.584, 0.914, 0.253], [0.744, 0.744, 0.744], [0.914, 0.584, 0.253]], "total_magnetization_mub_per_atom": 0.00, "dft_energy_ev_per_cell": -61.4, "raw_formation_energy_ev_per_atom": -1.33, "space_group": "C2/m"}


{"formula": "Dy5Te2Os", "functional": "PBE", "state": "relaxed", "lattice": [[2.925, -5.980, 0.000], [2.925, 5.980, 0.000], [0.000, 0.000, 14.584]], "species": ["Dy", "Dy", "Dy", "Dy", "Dy", "Dy", "Dy", "Dy", "Dy", "Dy", "Te", "Te", "Te", "Te", "Os", "Os"], "fractional_positions": [[0.062, 0.938, 0.623], [0.062, 0.938, 0.877], [0.302, 0.698, 0.250], [0.369, 0.631, 0.614], [0.369, 0.631, 0.886], [0.631, 0.369, 0.114], [0.631, 0.369, 0.386], [0.698, 0.302, 0.750], [0.938, 0.062, 0.123], [0.938, 0.062, 0.377], [0.189, 0.811, 0.058], [0.189, 0.811, 0.442], [0.811, 0.189, 0.558], [0.811, 0.189, 0.942], [0.219, 0.781, 0.750], [0.781, 0.219, 0.250]], "total_magnetization_mub_per_atom": 0.00, "relative_energy_ev_per_atom": 0.267, "dft_energy_ev_per_cell": -88.6, "raw_formation_energy_ev_per_atom": -0.47, "space_group": "Cmcm"}


{"formula": "AcPu2Ni9", "functional": "PBE", "state": "relaxed", "lattice": [[2.517, 1.453, 8.173], [-2.517, 1.453, 8.173], [0.000, -2.906, 8.173]], "species": ["Ac", "Pu", "Pu", "Ni", "Ni", "Ni", "Ni", "Ni", "Ni", "Ni", "Ni", "Ni"], "fractional_positions": [[0.000, 0.000, 0.000], [0.144, 0.144, 0.144], [0.856, 0.856, 0.856], [0.083, 0.584, 0.584], [0.333, 0.333, 0.333], [0.416, 0.416, 0.917], [0.416, 0.917, 0.416], [0.500, 0.500, 0.500], [0.584, 0.083, 0.584], [0.584, 0.584, 0.083], [0.667, 0.667, 0.667], [0.917, 0.416, 0.416]], "total_magnetization_mub_per_atom": 0.76, "dft_energy_ev_per_cell": -87.7, "space_group": "R-3m"}


{"formula": "Pm3Tl2Bi", "functional": "PBE", "state": "relaxed", "lattice": [[7.720, -3.207, 0.000], [7.720, 3.207, 0.000], [-2.266, 0.000, 8.039]], "species": ["Pm", "Pm", "Pm", "Pm", "Pm", "Pm", "Tl", "Tl", "Tl", "Tl", "Bi", "Bi"], "fractional_positions": [[0.001, 0.999, 0.750], [0.339, 0.342, 0.420], [0.342, 0.339, 0.920], [0.658, 0.661, 0.080], [0.661, 0.658, 0.580], [0.999, 0.001, 0.250], [0.171, 0.174, 0.085], [0.174, 0.171, 0.585], [0.826, 0.829, 0.415], [0.829, 0.826, 0.915], [0.499, 0.501, 0.250], [0.501, 0.499, 0.750]], "total_magnetization_mub_per_atom": 0.00, "dft_energy_ev_per_cell": -50.6, "space_group": "C2/c"}